# Nd2W3O12

Nd2W3O12 after structural relaxation (PBE+U, the Alexandria database).

**Energy**: -265.1 eV per cell
**Space group**: C2/c

Lattice parameters (Å, degrees): 7.102 7.102 11.697 100.78 100.78 111.86
Sites, in units of the cell vectors:
Nd1 0.041 0.287 0.094
Nd2 0.287 0.041 0.594
Nd3 0.713 0.959 0.406
Nd4 0.959 0.713 0.906
W1 0.134 0.866 0.250
W2 0.252 0.461 0.453
W3 0.461 0.252 0.953
W4 0.539 0.748 0.047
W5 0.748 0.539 0.547
W6 0.866 0.134 0.750
O1 0.081 0.661 0.110
O2 0.086 0.189 0.461
O3 0.110 0.457 0.304
O4 0.117 0.206 0.718
O5 0.189 0.086 0.961
O6 0.206 0.117 0.218
O7 0.231 0.662 0.560
O8 0.338 0.769 0.940
O9 0.339 0.919 0.390
O10 0.397 0.472 0.072
O11 0.457 0.110 0.804
O12 0.472 0.397 0.572
O13 0.528 0.603 0.428
O14 0.543 0.890 0.196
O15 0.603 0.528 0.928
O16 0.661 0.081 0.610
O17 0.662 0.231 0.060
O18 0.769 0.338 0.440
O19 0.794 0.883 0.782
O20 0.811 0.914 0.039
O21 0.883 0.794 0.282
O22 0.890 0.543 0.696
O23 0.914 0.811 0.539
O24 0.919 0.339 0.890